NaZn2GaRh after structural relaxation, computed with GGA-PBE.

abc: 4.7427 4.7290 4.7427
angles: 90.00 90.00 90.00
Closest atoms and distances in Å follow each position.
Positions (direct):
Zn 0.5000 0.0000 0.0000  2 Ga 2.37
Zn 0.0000 0.0000 0.5000  2 Ga 2.37
Na 0.5000 0.5000 0.5000  8 Zn 3.35, 4 Rh 3.35
Rh 0.0000 0.5000 0.0000  2 Ga 2.36
Ga 0.0000 0.0000 0.0000  2 Rh 2.36, 4 Zn 2.37

**E**: -12.71 eV/cell
**D(E_F)**: 0.66 states/eV per atom
**Symmetry**: P4/mmm
**Volume**: 21.27 Å³ per atom
**Formation energy**: 0.31 eV per atom